(1)
The following is a DFT calculation (PBE-GGA) of an optimized crystal structure of ZrTaIr2.

CIF file:
```
data_ZrTaIr2
_chemical_formula_sum 'Zr1 Ta1 Ir2'
_symmetry_space_group_name_H-M 'P 1 m 1'
_symmetry_Int_Tables_number 6
_symmetry_space_group_name_Hall 'P -2y'
_cell_length_a 3.1082
_cell_length_b 4.4197
_cell_length_c 5.3205
_cell_angle_alpha 90.00
_cell_angle_beta 105.94
_cell_angle_gamma 90.00
loop_
_atom_site_label
_atom_site_type_symbol
_atom_site_fract_x
_atom_site_fract_y
_atom_site_fract_z
Zr1 Zr 0.0000 0.0000 0.0000
Ta1 Ta 0.2763 0.5000 0.5782
Ir1 Ir 0.5503 0.5000 0.1089
Ir2 Ir 0.7280 0.0000 0.4785
```

Summary:
V: 70 Å³/cell
density of states at the Fermi level: 2.8 states/eV/cell
crystal system: monoclinic
spin magnetization: 0.00 μB/cell

(2)
The following is a DFT calculation (PBE-GGA) of an optimized crystal structure of ZrTaIr2.

CIF file:
```
data_ZrTaIr2
_chemical_formula_sum 'Zr2 Ta2 Ir4'
_symmetry_space_group_name_H-M 'I -4 m 2'
_symmetry_Int_Tables_number 119
_symmetry_space_group_name_Hall 'I -4 -2'
_cell_length_a 3.9612
_cell_length_b 3.9612
_cell_length_c 8.6652
_cell_angle_alpha 90.00
_cell_angle_beta 90.00
_cell_angle_gamma 90.00
loop_
_atom_site_label
_atom_site_type_symbol
_atom_site_fract_x
_atom_site_fract_y
_atom_site_fract_z
Zr1 Zr 0.0000 0.0000 0.0000
Ta1 Ta 0.0000 0.5000 0.2500
Ir1 Ir 0.0000 0.0000 0.5000
Ir2 Ir 0.0000 0.5000 0.7500
```

Summary:
V: 136 Å³/cell
density of states at the Fermi level: 5.0 states/eV/cell
crystal system: tetragonal
spin magnetization: 0.00 μB/cell

(3)
The following is a DFT calculation (PBE-GGA) of an optimized crystal structure of ZrTaIr2.

CIF file:
```
data_ZrTaIr2
_chemical_formula_sum 'Zr2 Ta2 Ir4'
_symmetry_space_group_name_H-M 'C 1 m 1'
_symmetry_Int_Tables_number 8
_symmetry_space_group_name_Hall 'C -2y'
_cell_length_a 9.8539
_cell_length_b 2.9043
_cell_length_c 4.8805
_cell_angle_alpha 90.00
_cell_angle_beta 99.87
_cell_angle_gamma 90.00
loop_
_atom_site_label
_atom_site_type_symbol
_atom_site_fract_x
_atom_site_fract_y
_atom_site_fract_z
Zr1 Zr 0.0000 0.0000 0.0000
Ta1 Ta 0.2191 0.0000 0.6504
Ir1 Ir 0.2509 0.5000 0.1689
Ir2 Ir 0.4754 0.0000 0.4962
```

Summary:
V: 138 Å³/cell
density of states at the Fermi level: 7.1 states/eV/cell
crystal system: monoclinic
spin magnetization: 0.00 μB/cell

Table of uncorrected energy (eV/cell), in record order: -40.9, -80.7, -80.5